1.
Density functional theory data (PBE) for ZnCrTeI2 after structural relaxation.

Lattice parameters (Å, degrees): 5.557 5.557 5.425 90.00 90.00 90.00
Each line ends with the local moment (μB).
Fractional coordinates of all 5 atoms:
Cr 0.500 0.500 0.500  4.27
I 0.000 0.500 0.000  -0.07
I 0.500 0.000 0.000  -0.07
Zn 0.000 0.000 0.000  0.01
Te 0.000 0.000 0.500  -0.32

Results
Formation energy without anion corrections ... 227 kJ/mol of formula units
E_tot ... -14.79 eV/f.u.
ρ ... 4.9 g cm⁻³

---

2.
Density functional theory data (PBE) for ZrCrTe2I after structural relaxation.

Lattice parameters (Å, degrees): 5.285 5.285 5.259 90.00 90.00 90.00
Each line ends with the local moment (μB).
Fractional coordinates of all 5 atoms:
I 0.000 0.000 0.500  -0.06
Te 0.000 0.500 0.000  -0.16
Te 0.500 0.000 0.000  -0.16
Cr 0.000 0.000 0.000  3.25
Zr 0.500 0.500 0.500  1.26

Results
Formation energy without anion corrections ... 179 kJ/mol of formula units
E_tot ... -24.15 eV/f.u.
ρ ... 5.9 g cm⁻³

---

Offset from the most stable computed form in eV/atom, matching the order above: 0.259; 0.204